Entry 1:
# BaCr2PbO8 | Alexandria via LeMat-Bulk | PBE with a Hubbard U | relaxed
data_BaCr2PbO8
_space_group_name_H-M_alt 'P -3 m 1'
_space_group_IT_number 164
_space_group_name_Hall '-P 3 2"'
_cell_length_a 5.7597
_cell_length_b 5.7597
_cell_length_c 8.0688
_cell_angle_alpha 90.00
_cell_angle_beta 90.00
_cell_angle_gamma 120.00
loop_
_atom_site_label
_atom_site_type_symbol
_atom_site_fract_x
_atom_site_fract_y
_atom_site_fract_z
Ba1 Ba 0.0000 0.0000 0.0000
Cr1 Cr 0.3333 0.6667 0.7886
Pb1 Pb 0.0000 0.0000 0.5000
O1 O 0.1741 0.3482 0.7231
O2 O 0.3333 0.6667 0.9924
# E (eV per atom): -6.65


Entry 2:
# Ba2CrPbO5 | Alexandria via LeMat-Bulk | PBE with a Hubbard U | relaxed
data_Ba2CrPbO5
_space_group_name_H-M_alt 'C m c 21'
_space_group_IT_number 36
_cell_length_a 3.377
_cell_length_b 16.750
_cell_length_c 10.391
_cell_angle_alpha 90.00
_cell_angle_beta 90.00
_cell_angle_gamma 90.00
loop_
_space_group_symop_operation_xyz
'x,y,z'
'-x,-y,z+1/2'
'-x,y,z'
'x,-y,z+1/2'
'x+1/2,y+1/2,z'
'-x+1/2,-y+1/2,z+1/2'
'-x+1/2,y+1/2,z'
'x+1/2,-y+1/2,z+1/2'
loop_
_atom_site_label
_atom_site_type_symbol
_atom_site_fract_x
_atom_site_fract_y
_atom_site_fract_z
Ba1 Ba 0.000 0.131 0.000
Ba2 Ba 0.000 0.133 0.569
Cr1 Cr 0.000 0.227 0.284
Pb1 Pb 0.000 0.480 0.778
O1 O 0.000 0.107 0.286
O2 O 0.000 0.281 0.906
O3 O 0.000 0.282 0.661
O4 O 0.000 0.337 0.283
O5 O 0.000 0.497 0.565
# E (eV per atom): -6.28


Entry 3:
# BaCr2Pb2O7 | Alexandria via LeMat-Bulk | PBE with a Hubbard U | relaxed
data_BaCr2Pb2O7
_space_group_name_H-M_alt 'R 3 2'
_space_group_IT_number 155
_space_group_name_Hall 'R 3 2"'
_cell_length_a 5.7187
_cell_length_b 5.7187
_cell_length_c 24.4983
_cell_angle_alpha 90.00
_cell_angle_beta 90.00
_cell_angle_gamma 120.00
loop_
_atom_site_label
_atom_site_type_symbol
_atom_site_fract_x
_atom_site_fract_y
_atom_site_fract_z
Ba1 Ba 0.0000 0.0000 0.0000
Cr1 Cr 0.0000 0.0000 0.4249
Pb1 Pb 0.0000 0.0000 0.2110
O1 O 0.0000 0.0000 0.5000
O2 O 0.0169 0.3905 0.0696
# E (eV per atom): -6.56


Entry 4:
# Ba2CrPdO6 | Alexandria via LeMat-Bulk | PBE with a Hubbard U | relaxed
data_Ba2CrPdO6
_space_group_name_H-M_alt 'P -3 m 1'
_space_group_IT_number 164
_space_group_name_Hall '-P 3 2"'
_cell_length_a 5.8206
_cell_length_b 5.8206
_cell_length_c 5.0755
_cell_angle_alpha 90.00
_cell_angle_beta 90.00
_cell_angle_gamma 120.00
loop_
_atom_site_label
_atom_site_type_symbol
_atom_site_fract_x
_atom_site_fract_y
_atom_site_fract_z
Ba1 Ba 0.3333 0.6667 0.2591
Cr1 Cr 0.0000 0.0000 0.0000
Pd1 Pd 0.0000 0.0000 0.5000
O1 O 0.1532 0.3064 0.7615
# E (eV per atom): -6.40